[1]
A relaxed Tl2GeBi2 crystal, computed with PBE-GGA.

Results
relative energy among the computed polymorphs = 65 kJ/mol of formula units
spin magnetization = 0.000 μB/atom
energy of formation from the pure elements = 0.28 eV per atom

Lattice parameters (Å, degrees): 4.276 4.276 17.547 90.00 90.00 90.00
Space group I4/mmm (No. 139)
Symmetry-distinct sites (fractional):
Tl  0.000  0.500  0.250 (multiplicity 4)
Ge  0.000  0.000  0.000 (multiplicity 2)
Bi  0.000  0.000  0.415 (multiplicity 4)

[2]
A relaxed Tl2GeBi2 crystal, computed with PBE-GGA.

Results
relative energy among the computed polymorphs = 79 kJ/mol of formula units
spin magnetization = 0.000 μB/atom
energy of formation from the pure elements = 0.31 eV per atom

Lattice parameters (Å, degrees): 7.790 7.790 5.126 90.00 90.00 90.00
Space group P4/mbm (No. 127)
Symmetry-distinct sites (fractional):
Tl  0.156  0.344  0.000 (multiplicity 4)
Ge  0.000  0.000  0.000 (multiplicity 2)
Bi  0.144  0.644  0.500 (multiplicity 4)

[3]
A relaxed TlGeBi crystal, computed with PBE-GGA.

Results
relative energy among the computed polymorphs = 0 kJ/mol of formula units
spin magnetization = 0.000 μB/atom
energy of formation from the pure elements = 0.12 eV per atom

Lattice parameters (Å, degrees): 14.259 3.836 6.433 90.00 97.22 90.00
Space group C2/m (No. 12)
Symmetry-distinct sites (fractional):
Tl  0.146  0.000  0.369 (multiplicity 4)
Ge  0.217  0.000  0.871 (multiplicity 4)
Bi  0.051  0.500  0.799 (multiplicity 4)

[4]
A relaxed Tl2GeBi2 crystal, computed with PBE-GGA.

Results
relative energy among the computed polymorphs = 0 kJ/mol of formula units
spin magnetization = 0.000 μB/atom
energy of formation from the pure elements = 0.14 eV per atom

Lattice parameters (Å, degrees): 7.791 7.791 5.448 90.00 90.00 90.00
Space group P4/mbm (No. 127)
Symmetry-distinct sites (fractional):
Tl  0.174  0.326  0.000 (multiplicity 4)
Ge  0.000  0.000  0.500 (multiplicity 2)
Bi  0.140  0.640  0.500 (multiplicity 4)

[5]
A relaxed TlGeBi crystal, computed with PBE-GGA.

Results
relative energy among the computed polymorphs = 11 kJ/mol of formula units
spin magnetization = 0.000 μB/atom
energy of formation from the pure elements = 0.16 eV per atom

Lattice parameters (Å, degrees): 5.3764 5.3764 3.3603 90.00 90.00 120.00
Space group P3m1 (No. 156)
Symmetry-distinct sites (fractional):
Tl  0.0000  0.0000  0.0000 (multiplicity 1)
Ge  0.3333  0.6667  0.4641 (multiplicity 1)
Bi  0.6667  0.3333  0.5119 (multiplicity 1)

[6]
A relaxed TlGeBi crystal, computed with PBE-GGA.

Results
relative energy among the computed polymorphs = 6 kJ/mol of formula units
spin magnetization = 0.000 μB/atom
energy of formation from the pure elements = 0.14 eV per atom

Lattice parameters (Å, degrees): 7.228 7.228 7.228 90.00 90.00 90.00
Space group F-43m (No. 216)
Symmetry-distinct sites (fractional):
Tl  0.000  0.000  0.000 (multiplicity 4)
Ge  0.250  0.250  0.250 (multiplicity 4)
Bi  0.000  0.000  0.500 (multiplicity 4)